Record 1
Material: LiTlFePd
Method: DFT, PBE-GGA
State: relaxed

Lattice parameters (Å, degrees): 6.3218 6.3218 6.3218 90.00 90.00 90.00
Space group F-43m (No. 216)
Symmetry-distinct sites (fractional):
Li1 0.0000 0.0000 0.0000
Tl1 0.2500 0.2500 0.2500
Fe1 0.0000 0.0000 0.5000
Pd1 0.2500 0.2500 0.7500

Calculated values
For the total DFT energy (no corrections), the calculation gives -4.45 eV/atom.

---

Record 2
Material: LiPrFe
Method: DFT, PBE-GGA
State: relaxed

Lattice parameters (Å, degrees): 6.4539 6.4539 6.4539 90.00 90.00 90.00
Space group F-43m (No. 216)
Symmetry-distinct sites (fractional):
Li1 0.0000 0.0000 0.0000
Pr1 0.0000 0.0000 0.5000
Fe1 0.2500 0.2500 0.2500

Calculated values
For the total DFT energy (no corrections), the calculation gives -4.39 eV/atom.

---

Record 3
Material: LiPrFeS3
Method: DFT, PBE-GGA
State: relaxed

Lattice parameters (Å, degrees): 3.9528 11.7783 11.0790 90.00 90.00 90.00
Space group Cmcm (No. 63)
Symmetry-distinct sites (fractional):
Li1 0.0000 0.2319 0.2500
Pr1 0.0000 0.0000 0.0000
Fe1 0.0000 0.4770 0.7500
S1 0.0000 0.0830 0.7500
S2 0.0000 0.3521 0.5933

Calculated values
For the total DFT energy (no corrections), the calculation gives -5.73 eV/atom.

---

Record 4
Material: Li4FeSn2Pt
Method: DFT, PBE-GGA
State: relaxed

Lattice parameters (Å, degrees): 4.4096 4.4096 6.3580 90.00 90.00 90.00
Space group P-4m2 (No. 115)
Symmetry-distinct sites (fractional):
Li1 0.0000 0.0000 0.0000
Li2 0.0000 0.5000 0.2454
Li3 0.5000 0.5000 0.5000
Fe1 0.0000 0.0000 0.5000
Sn1 0.0000 0.5000 0.7416
Pt1 0.5000 0.5000 0.0000

Calculated values
For the total DFT energy (no corrections), the calculation gives -4.12 eV/atom.

---

Record 5
Material: Li2Y2FeSn2Pt
Method: DFT, PBE-GGA
State: relaxed

Lattice parameters (Å, degrees): 4.7209 4.7209 6.7038 90.00 90.00 90.00
Space group P-4m2 (No. 115)
Symmetry-distinct sites (fractional):
Li1 0.0000 0.0000 0.0000
Li2 0.5000 0.5000 0.5000
Y1 0.0000 0.5000 0.2497
Fe1 0.0000 0.0000 0.5000
Sn1 0.0000 0.5000 0.7345
Pt1 0.5000 0.5000 0.0000

Calculated values
For the total DFT energy (no corrections), the calculation gives -5.47 eV/atom.

---

Record 6
Material: LiTlFePt
Method: DFT, PBE-GGA
State: relaxed

Lattice parameters (Å, degrees): 6.3061 6.3061 6.3061 90.00 90.00 90.00
Space group F-43m (No. 216)
Symmetry-distinct sites (fractional):
Li1 0.0000 0.0000 0.0000
Tl1 0.2500 0.2500 0.2500
Fe1 0.0000 0.0000 0.5000
Pt1 0.2500 0.2500 0.7500

Calculated values
For the total DFT energy (no corrections), the calculation gives -4.72 eV/atom.

---

Record 7
Material: RbLiFe
Method: DFT, PBE-GGA
State: relaxed

Lattice parameters (Å, degrees): 7.2333 7.2333 7.2333 90.00 90.00 90.00
Space group F-43m (No. 216)
Symmetry-distinct sites (fractional):
Rb1 0.0000 0.0000 0.0000
Li1 0.2500 0.2500 0.7500
Fe1 0.0000 0.0000 0.5000

Calculated values
For the total DFT energy (no corrections), the calculation gives -2.55 eV/atom.

---

Record 8
Material: LiZnFeRe
Method: DFT, PBE-GGA
State: relaxed

Lattice parameters (Å, degrees): 5.7612 5.7612 5.7612 90.00 90.00 90.00
Space group F-43m (No. 216)
Symmetry-distinct sites (fractional):
Li1 0.0000 0.0000 0.0000
Zn1 0.2500 0.2500 0.7500
Fe1 0.0000 0.0000 0.5000
Re1 0.2500 0.2500 0.2500

Calculated values
For the total DFT energy (no corrections), the calculation gives -5.87 eV/atom.

---

Record 9
Material: LiZnFeRe
Method: DFT, PBE-GGA
State: relaxed

Lattice parameters (Å, degrees): 5.9324 5.9324 5.9324 90.00 90.00 90.00
Space group F-43m (No. 216)
Symmetry-distinct sites (fractional):
Li1 0.0000 0.0000 0.0000
Zn1 0.0000 0.0000 0.5000
Fe1 0.2500 0.2500 0.7500
Re1 0.2500 0.2500 0.2500

Calculated values
For the total DFT energy (no corrections), the calculation gives -5.40 eV/atom.

---

Record 10
Material: Li4FeS2
Method: DFT, PBE-GGA
State: relaxed

Lattice parameters (Å, degrees): 5.4304 5.5773 13.5831 85.28 84.01 89.87
Space group P-1 (No. 2)
Symmetry-distinct sites (fractional):
Li1 0.1496 0.4069 0.4189
Li2 0.1922 0.9556 0.2121
Li3 0.1931 0.4607 0.2114
Li4 0.2505 0.9995 0.0000
Li5 0.2506 0.5005 0.0000
Li6 0.3036 0.0422 0.7891
Li7 0.3050 0.5393 0.7890
Li8 0.3488 0.6037 0.5829
Fe1 0.1339 0.9203 0.4403
Fe2 0.3912 0.0814 0.5670
S1 0.0270 0.7696 0.8944
S2 0.0869 0.3012 0.6771
S3 0.4177 0.1817 0.3113
S4 0.4722 0.7288 0.1058

Calculated values
For the total DFT energy (no corrections), the calculation gives -4.35 eV/atom.

---

Record 11
Material: LiSmFeS3
Method: DFT, PBE-GGA
State: relaxed

Lattice parameters (Å, degrees): 3.8944 11.9639 10.7721 90.00 90.00 90.00
Space group Cmcm (No. 63)
Symmetry-distinct sites (fractional):
Li1 0.0000 0.2305 0.2500
Sm1 0.0000 0.0000 0.0000
Fe1 0.0000 0.4789 0.7500
S1 0.0000 0.0868 0.7500
S2 0.0000 0.3560 0.5891

Calculated values
For the total DFT energy (no corrections), the calculation gives -5.74 eV/atom.

---

Record 12
Material: LiSmFeS3
Method: DFT, PBE-GGA
State: relaxed

Lattice parameters (Å, degrees): 7.4931 3.8672 9.2279 90.00 98.22 90.00
Space group P2_1/m (No. 11)
Symmetry-distinct sites (fractional):
Li1 0.1482 0.2500 0.1228
Sm1 0.3547 0.7500 0.8290
Fe1 0.0709 0.2500 0.5874
S1 0.0837 0.2500 0.8387
S2 0.2246 0.7500 0.5258
S3 0.3827 0.7500 0.1379

Calculated values
For the total DFT energy (no corrections), the calculation gives -5.81 eV/atom.

---

> Look up the total DFT energy (no corrections) of the third one.

-5.73 eV/atom

---

> What is the total DFT energy (no corrections) in the second record?

-4.39 eV/atom